AlTcPb3 | GGA-PBE | optimized geometry

a = 5.3305 Å, b = 5.3305 Å, c = 5.3305 Å
α = 90.00°, β = 90.00°, γ = 90.00°
Each line ends with the local moment (μB).
Fractional coordinates of all 5 atoms:
Al1 0.5000 0.5000 0.5000  0.04
Pb1 0.0000 0.5000 0.0000  0.00
Pb2 0.5000 0.0000 0.0000  -0.01
Pb3 0.0000 0.0000 0.5000  0.02
Tc1 0.0000 0.0000 0.0000  0.56

The calculation puts the formation energy at 0.5924 eV/atom. The relative energy among the computed polymorphs comes out at 0.0 meV/atom.

=====

Al2TcPb | GGA-PBE | optimized geometry

a = 3.2268 Å, b = 3.2235 Å, c = 7.7896 Å
α = 70.74°, β = 90.00°, γ = 90.00°
Fractional coordinates of all 4 atoms:
Pb1 0.5000 0.2500 0.2500
Tc1 0.5000 0.7500 0.7500
Al1 0.0000 0.3942 0.5747
Al2 0.0000 0.1058 0.9253

The calculation puts the formation energy at -0.0361 eV/atom.

=====

AlTc2Pb | GGA-PBE | optimized geometry

a = 4.6089 Å, b = 4.6089 Å, c = 5.4149 Å
α = 79.20°, β = 79.20°, γ = 38.41°
Fractional coordinates of all 4 atoms:
Al1 0.7500 0.7500 0.7500
Pb1 0.2500 0.2500 0.2500
Tc1 0.4902 0.4902 0.5514
Tc2 0.0098 0.0098 0.9486

The calculation puts the formation energy at 0.3130 eV/atom. The relative energy among the computed polymorphs comes out at 255.1 meV/atom.